Density functional theory data (meta-GGA SCAN) for a PBEsol-optimized structure of LiAlI2N.

Calculated values
symmetry = P4/mmm (123)
formation energy from raw total energies = -0.288 eV/atom

Unit cell a=5.748 b=5.748 c=3.555 alpha=90.00 beta=90.00 gamma=90.00
Fractional positions:
Li1 0.000 0.000 0.000
Al1 0.500 0.500 0.500
I1 0.000 0.500 0.500
I2 0.500 0.000 0.500
N1 0.500 0.500 0.000

=====

Density functional theory data (meta-GGA SCAN) for a PBEsol-optimized structure of Tc2TeCl.

Calculated values
symmetry = C2/m (12)
formation energy from raw total energies = 0.900 eV/atom
energy above the most stable polymorph in this dataset = 61 meV/atom

Unit cell a=5.234 b=5.234 c=3.012 alpha=106.07 beta=106.07 gamma=110.20
Fractional positions:
Tc1 0.000 0.500 0.000
Tc2 0.500 0.000 0.000
Te1 0.000 0.000 0.000
Cl1 0.500 0.500 0.000

=====

Density functional theory data (meta-GGA SCAN) for a PBEsol-optimized structure of RbCuTc2.

Calculated values
symmetry = Fm-3m (225)
calculated formation energy = 2128 meV/atom

Unit cell a=4.464 b=4.464 c=4.464 alpha=60.00 beta=60.00 gamma=60.00
Fractional positions:
Rb1 0.000 0.000 0.000
Cu1 0.500 0.500 0.500
Tc1 0.250 0.250 0.250
Tc2 0.750 0.750 0.750

=====

Density functional theory data (meta-GGA SCAN) for a PBEsol-optimized structure of NiIrSeBr2.

Calculated values
symmetry = P4/mmm (123)
formation energy from raw total energies = 1.082 eV/atom

Unit cell a=4.594 b=4.594 c=4.730 alpha=90.00 beta=90.00 gamma=90.00
Fractional positions:
Ni1 0.000 0.000 0.000
Ir1 0.500 0.500 0.500
Se1 0.000 0.000 0.500
Br1 0.000 0.500 0.000
Br2 0.500 0.000 0.000

=====

Density functional theory data (meta-GGA SCAN) for a PBEsol-optimized structure of AlHg2SbCl4.

Calculated values
symmetry = Pna2_1 (33)
formation energy from raw total energies = -1.087 eV/atom

Unit cell a=17.597 b=8.744 c=12.053 alpha=90.00 beta=90.00 gamma=90.00
Fractional positions:
Al1 0.119 0.163 0.000
Al2 0.134 0.657 0.716
Al3 0.366 0.157 0.216
Al4 0.381 0.663 0.500
Al5 0.619 0.337 0.000
Al6 0.634 0.843 0.716
Al7 0.866 0.343 0.216
Al8 0.881 0.837 0.500
Hg1 0.006 0.260 0.603
Hg2 0.120 0.919 0.368
Hg3 0.127 0.417 0.336
Hg4 0.245 0.710 0.102
Hg5 0.255 0.210 0.602
Hg6 0.373 0.917 0.836
Hg7 0.380 0.419 0.868
Hg8 0.494 0.760 0.103
Hg9 0.506 0.240 0.603
Hg10 0.620 0.581 0.368
Hg11 0.627 0.083 0.336
Hg12 0.745 0.790 0.102
Hg13 0.755 0.290 0.602
Hg14 0.873 0.583 0.836
Hg15 0.880 0.081 0.868
Hg16 0.994 0.740 0.103
Sb1 0.119 0.682 0.225
Sb2 0.128 0.184 0.481
Sb3 0.372 0.684 0.981
Sb4 0.381 0.182 0.725
Sb5 0.619 0.818 0.225
Sb6 0.628 0.316 0.481
Sb7 0.872 0.816 0.981
Sb8 0.881 0.318 0.725
Cl1 0.050 0.681 0.845
Cl2 0.054 0.125 0.850
Cl3 0.056 0.073 0.140
Cl4 0.076 0.609 0.563
Cl5 0.136 0.401 0.029
Cl6 0.202 0.859 0.703
Cl7 0.205 0.465 0.761
Cl8 0.225 0.042 0.984
Cl9 0.275 0.542 0.484
Cl10 0.295 0.965 0.261
Cl11 0.298 0.359 0.203
Cl12 0.364 0.901 0.529
Cl13 0.424 0.109 0.063
Cl14 0.444 0.573 0.640
Cl15 0.446 0.625 0.350
Cl16 0.450 0.181 0.345
Cl17 0.550 0.819 0.845
Cl18 0.554 0.375 0.850
Cl19 0.556 0.427 0.140
Cl20 0.576 0.891 0.563
Cl21 0.636 0.099 0.029
Cl22 0.702 0.641 0.703
Cl23 0.705 0.035 0.761
Cl24 0.725 0.458 0.984
Cl25 0.775 0.958 0.484
Cl26 0.795 0.535 0.261
Cl27 0.798 0.141 0.203
Cl28 0.864 0.599 0.529
Cl29 0.924 0.391 0.063
Cl30 0.944 0.927 0.640
Cl31 0.946 0.875 0.350
Cl32 0.950 0.319 0.345

=====

Density functional theory data (meta-GGA SCAN) for a PBEsol-optimized structure of SrTlIr2.

Calculated values
symmetry = Fm-3m (225)
calculated formation energy = 529 meV/atom

Unit cell a=4.777 b=4.777 c=4.777 alpha=60.00 beta=60.00 gamma=60.00
Fractional positions:
Sr1 0.000 0.000 0.000
Tl1 0.500 0.500 0.500
Ir1 0.250 0.250 0.250
Ir2 0.750 0.750 0.750

=====

Density functional theory data (meta-GGA SCAN) for a PBEsol-optimized structure of Re3Au.

Calculated values
symmetry = Pm-3m (221)
calculated formation energy = 297 meV/atom

Unit cell a=3.899 b=3.899 c=3.899 alpha=90.00 beta=90.00 gamma=90.00
Fractional positions:
Re1 0.000 0.000 0.500
Re2 0.000 0.500 0.000
Re3 0.500 0.000 0.000
Au1 0.500 0.500 0.500

=====

Density functional theory data (meta-GGA SCAN) for a PBEsol-optimized structure of CrFe3.

Calculated values
symmetry = P4/mmm (123)
calculated formation energy = 27 meV/atom

Unit cell a=4.009 b=4.009 c=2.848 alpha=90.00 beta=90.00 gamma=90.00
Fractional positions:
Cr1 0.000 0.000 0.000
Fe1 0.000 0.500 0.500
Fe2 0.500 0.000 0.500
Fe3 0.500 0.500 0.000

=====

Density functional theory data (meta-GGA SCAN) for a PBEsol-optimized structure of Sr2FeMo.

Calculated values
symmetry = R-3m (166)
calculated formation energy = 1391 meV/atom

Unit cell a=10.494 b=10.494 c=10.494 alpha=17.33 beta=17.33 gamma=17.33
Fractional positions:
Sr1 0.248 0.248 0.248
Sr2 0.752 0.752 0.752
Fe1 0.500 0.500 0.500
Mo1 0.000 0.000 0.000

=====

Density functional theory data (meta-GGA SCAN) for a PBEsol-optimized structure of La3HgO.

Calculated values
symmetry = Pm-3m (221)
formation energy from raw total energies = -1.570 eV/atom

Unit cell a=4.982 b=4.982 c=4.982 alpha=90.00 beta=90.00 gamma=90.00
Fractional positions:
La1 0.000 0.000 0.500
La2 0.000 0.500 0.000
La3 0.500 0.000 0.000
Hg1 0.500 0.500 0.500
O1 0.000 0.000 0.000

=====

Density functional theory data (meta-GGA SCAN) for a PBEsol-optimized structure of MnPb2W.

Calculated values
symmetry = Fm-3m (225)
calculated formation energy = 870 meV/atom

Unit cell a=4.774 b=4.774 c=4.774 alpha=60.00 beta=60.00 gamma=60.00
Fractional positions:
Mn1 0.000 0.000 0.000
Pb1 0.250 0.250 0.250
Pb2 0.750 0.750 0.750
W1 0.500 0.500 0.500

=====

Density functional theory data (meta-GGA SCAN) for a PBEsol-optimized structure of LaAl2Re.

Calculated values
symmetry = R-3m (166)
calculated formation energy = 100 meV/atom
energy above the most stable polymorph in this dataset = 0 meV/atom

Unit cell a=9.790 b=9.790 c=9.790 alpha=17.62 beta=17.62 gamma=17.62
Fractional positions:
La1 0.000 0.000 0.000
Al1 0.235 0.235 0.235
Al2 0.765 0.765 0.765
Re1 0.500 0.500 0.500

=====

Density functional theory data (meta-GGA SCAN) for a PBEsol-optimized structure of Ti3FeCu2P6O24.

Calculated values
symmetry = R3 (146)
formation energy from raw total energies = -2.461 eV/atom

Unit cell a=8.467 b=8.467 c=8.467 alpha=60.76 beta=60.76 gamma=60.76
Fractional positions:
Ti1 0.000 0.000 0.000
Ti2 0.216 0.216 0.216
Ti3 0.501 0.501 0.501
Fe1 0.716 0.716 0.716
Cu1 0.358 0.358 0.358
Cu2 0.857 0.857 0.857
P1 0.108 0.816 0.402
P2 0.317 0.610 0.901
P3 0.402 0.108 0.816
P4 0.610 0.901 0.317
P5 0.816 0.402 0.108
P6 0.901 0.317 0.610
O1 0.045 0.861 0.237
O2 0.097 0.294 0.447
O3 0.121 0.774 0.912
O4 0.182 0.975 0.348
O5 0.237 0.045 0.861
O6 0.271 0.620 0.416
O7 0.294 0.447 0.097
O8 0.348 0.182 0.975
O9 0.363 0.545 0.737
O10 0.416 0.271 0.620
O11 0.447 0.097 0.294
O12 0.475 0.672 0.865
O13 0.545 0.737 0.363
O14 0.594 0.946 0.810
O15 0.620 0.416 0.271
O16 0.672 0.865 0.475
O17 0.737 0.363 0.545
O18 0.774 0.912 0.121
O19 0.810 0.594 0.946
O20 0.861 0.237 0.045
O21 0.865 0.475 0.672
O22 0.912 0.121 0.774
O23 0.946 0.810 0.594
O24 0.975 0.348 0.182

=====

Density functional theory data (meta-GGA SCAN) for a PBEsol-optimized structure of Co2Si2Pd.

Calculated values
symmetry = P4/mbm (127)
formation energy from raw total energies = -0.467 eV/atom

Unit cell a=6.600 b=6.600 c=2.628 alpha=90.00 beta=90.00 gamma=90.00
Fractional positions:
Co1 0.142 0.358 0.000
Co2 0.358 0.858 0.000
Co3 0.642 0.142 0.000
Co4 0.858 0.642 0.000
Si1 0.151 0.651 0.500
Si2 0.349 0.151 0.500
Si3 0.651 0.849 0.500
Si4 0.849 0.349 0.500
Pd1 0.000 0.000 0.500
Pd2 0.500 0.500 0.500

=====

Density functional theory data (meta-GGA SCAN) for a PBEsol-optimized structure of Ca3Nb4O12F2.

Calculated values
symmetry = P4_332 (212)
formation energy from raw total energies = -3.148 eV/atom
energy above the most stable polymorph in this dataset = 0 meV/atom

Unit cell a=10.484 b=10.484 c=10.484 alpha=90.00 beta=90.00 gamma=90.00
Fractional positions:
Ca1 0.114 0.375 0.364
Ca2 0.125 0.636 0.614
Ca3 0.136 0.886 0.875
Ca4 0.364 0.114 0.375
Ca5 0.375 0.364 0.114
Ca6 0.386 0.625 0.864
Ca7 0.614 0.125 0.636
Ca8 0.625 0.864 0.386
Ca9 0.636 0.614 0.125
Ca10 0.864 0.386 0.625
Ca11 0.875 0.136 0.886
Ca12 0.886 0.875 0.136
Nb1 0.124 0.126 0.625
Nb2 0.125 0.376 0.874
Nb3 0.125 0.875 0.375
Nb4 0.126 0.625 0.124
Nb5 0.374 0.375 0.624
Nb6 0.375 0.125 0.875
Nb7 0.375 0.624 0.374
Nb8 0.376 0.874 0.125
Nb9 0.624 0.374 0.375
Nb10 0.625 0.124 0.126
Nb11 0.625 0.625 0.625
Nb12 0.626 0.875 0.876
Nb13 0.874 0.125 0.376
Nb14 0.875 0.375 0.125
Nb15 0.875 0.876 0.626
Nb16 0.876 0.626 0.875
O1 0.002 0.505 0.802
O2 0.005 0.698 0.998
O3 0.008 0.812 0.510
O4 0.010 0.492 0.188
O5 0.052 0.255 0.748
O6 0.062 0.758 0.240
O7 0.188 0.010 0.492
O8 0.198 0.502 0.995
O9 0.240 0.062 0.758
O10 0.242 0.740 0.438
O11 0.245 0.252 0.552
O12 0.248 0.448 0.745
O13 0.252 0.552 0.245
O14 0.255 0.748 0.052
O15 0.258 0.260 0.938
O16 0.260 0.938 0.258
O17 0.302 0.498 0.495
O18 0.312 0.990 0.992
O19 0.438 0.242 0.740
O20 0.448 0.745 0.248
O21 0.490 0.508 0.688
O22 0.492 0.188 0.010
O23 0.495 0.302 0.498
O24 0.498 0.495 0.302
O25 0.502 0.995 0.198
O26 0.505 0.802 0.002
O27 0.508 0.688 0.490
O28 0.510 0.008 0.812
O29 0.552 0.245 0.252
O30 0.562 0.742 0.760
O31 0.688 0.490 0.508
O32 0.698 0.998 0.005
O33 0.740 0.438 0.242
O34 0.742 0.760 0.562
O35 0.745 0.248 0.448
O36 0.748 0.052 0.255
O37 0.752 0.948 0.755
O38 0.755 0.752 0.948
O39 0.758 0.240 0.062
O40 0.760 0.562 0.742
O41 0.802 0.002 0.505
O42 0.812 0.510 0.008
O43 0.938 0.258 0.260
O44 0.948 0.755 0.752
O45 0.990 0.992 0.312
O46 0.992 0.312 0.990
O47 0.995 0.198 0.502
O48 0.998 0.005 0.698
F1 0.013 0.487 0.513
F2 0.237 0.737 0.763
F3 0.263 0.263 0.263
F4 0.487 0.513 0.013
F5 0.513 0.013 0.487
F6 0.737 0.763 0.237
F7 0.763 0.237 0.737
F8 0.987 0.987 0.987

=====

Density functional theory data (meta-GGA SCAN) for a PBEsol-optimized structure of Be2SiTe.

Calculated values
symmetry = Pmmm (47)
formation energy from raw total energies = 0.765 eV/atom
energy above the most stable polymorph in this dataset = 336 meV/atom

Unit cell a=3.469 b=3.570 c=5.109 alpha=90.00 beta=90.00 gamma=90.00
Fractional positions:
Be1 0.000 0.000 0.000
Be2 0.000 0.500 0.500
Si1 0.500 0.000 0.500
Te1 0.500 0.500 0.000

=====

Density functional theory data (meta-GGA SCAN) for a PBEsol-optimized structure of Re2HgCl.

Calculated values
symmetry = P4/mmm (123)
formation energy from raw total energies = 1.538 eV/atom
energy above the most stable polymorph in this dataset = 1223 meV/atom

Unit cell a=2.750 b=2.750 c=8.471 alpha=90.00 beta=90.00 gamma=90.00
Fractional positions:
Re1 0.000 0.000 0.237
Re2 0.000 0.000 0.763
Hg1 0.500 0.500 0.500
Cl1 0.500 0.500 0.000

=====

Density functional theory data (meta-GGA SCAN) for a PBEsol-optimized structure of Al2Cd2Rh.

Calculated values
symmetry = I4/mmm (139)
calculated formation energy = 257 meV/atom

Unit cell a=7.550 b=7.550 c=7.550 alpha=152.28 beta=152.28 gamma=39.61
Fractional positions:
Al1 0.087 0.087 0.000
Al2 0.913 0.913 0.000
Cd1 0.250 0.750 0.500
Cd2 0.750 0.250 0.500
Rh1 0.500 0.500 0.000

=====

Density functional theory data (meta-GGA SCAN) for a PBEsol-optimized structure of Y3BOs.

Calculated values
symmetry = Pm-3m (221)
calculated formation energy = 329 meV/atom

Unit cell a=4.786 b=4.786 c=4.786 alpha=90.00 beta=90.00 gamma=90.00
Fractional positions:
Y1 0.000 0.000 0.500
Y2 0.000 0.500 0.000
Y3 0.500 0.000 0.000
B1 0.000 0.000 0.000
Os1 0.500 0.500 0.500

=====

no.,DFT total energy (eV per cell)
1,-94.36
2,-111.75
3,-97.55
4,-140.86
5,-1775.62
6,-234.72
7,-281.26
8,-72.66
9,-92.00
10,-211.56
11,-236.02
12,-129.31
13,-397.17
14,-179.50
15,-1237.88
16,-52.91
17,-212.19
18,-108.82
19,-161.20